#a
! ScRu2Au (PBE, optimized geometry); values from VASP
&SYSTEM
  ibrav = 0, nat = 4, ntyp = 3
/
ATOMIC_SPECIES
Ru 101.07 Ru.upf
Au 196.97 Au.upf
Sc 44.96 Sc.upf
ATOMIC_POSITIONS crystal
Ru 0.000 0.000 0.000
Ru 0.250 0.250 0.250
Au 0.500 0.500 0.500
Sc 0.750 0.750 0.750
CELL_PARAMETERS angstrom
-1.988 2.531 3.183
-3.975 -1.275 1.750
-0.220 -1.492 4.268
! Symmetry = F-43m, No. 216
! Total magnetic moment = 0.018 Bohr magnetons per cell
! Mass density = 11.24 Mg/m³

***

#b
! ScRu2Au (PBE, optimized geometry); values from VASP
&SYSTEM
  ibrav = 0, nat = 4, ntyp = 3
/
ATOMIC_SPECIES
Sc 44.96 Sc.upf
Ru 101.07 Ru.upf
Au 196.97 Au.upf
ATOMIC_POSITIONS crystal
Sc 0.000 0.000 0.485
Ru 0.000 0.000 0.025
Ru 0.500 0.500 0.231
Au 0.500 0.500 0.759
CELL_PARAMETERS angstrom
2.909 0.000 0.000
0.000 2.909 0.000
0.000 0.000 7.782
! Symmetry = P4mm, No. 99
! Total magnetic moment = 0.000 Bohr magnetons per cell
! Mass density = 11.20 Mg/m³

***

#c
! ScRu2Au (PBE, optimized geometry); values from VASP
&SYSTEM
  ibrav = 0, nat = 4, ntyp = 3
/
ATOMIC_SPECIES
Au 196.97 Au.upf
Ru 101.07 Ru.upf
Sc 44.96 Sc.upf
ATOMIC_POSITIONS crystal
Au 0.750 0.250 0.500
Ru 0.500 0.500 0.000
Ru 0.000 0.000 0.000
Sc 0.250 0.750 0.500
CELL_PARAMETERS angstrom
4.925 -0.018 0.000
1.671 4.633 0.000
-3.298 -2.307 2.838
! Symmetry = I4/mmm, No. 139
! Total magnetic moment = 0.003 Bohr magnetons per cell
! Mass density = 11.37 Mg/m³

***

Most stable to least stable: #b, #c, #a

***

#a
! ScRu2Au (PBE, optimized geometry); values from VASP
&SYSTEM
  ibrav = 0, nat = 4, ntyp = 3
/
ATOMIC_SPECIES
Ru 101.07 Ru.upf
Au 196.97 Au.upf
Sc 44.96 Sc.upf
ATOMIC_POSITIONS crystal
Ru 0.997 0.997 0.997
Ru 0.503 0.503 0.503
Au 0.750 0.750 0.750
Sc 0.250 0.250 0.250
CELL_PARAMETERS angstrom
9.089 0.011 0.007
8.616 2.895 0.007
8.616 1.414 2.526
! Symmetry = R-3m, No. 166
! Total magnetic moment = 0.001 Bohr magnetons per cell
! Mass density = 11.16 Mg/m³

***

#b
! ScRu2Au (PBE, optimized geometry); values from VASP
&SYSTEM
  ibrav = 0, nat = 8, ntyp = 3
/
ATOMIC_SPECIES
Sc 44.96 Sc.upf
Ru 101.07 Ru.upf
Au 196.97 Au.upf
ATOMIC_POSITIONS crystal
Sc 0.500 0.500 0.000
Sc 0.250 0.750 0.500
Ru 0.176 0.625 0.250
Ru 0.574 0.125 0.250
Ru 0.875 0.824 0.750
Ru 0.375 0.426 0.750
Au 0.750 0.250 0.500
Au 0.000 0.000 0.000
CELL_PARAMETERS angstrom
-1.279 0.663 3.612
0.474 -3.763 0.858
8.474 0.210 5.055
! Symmetry = I-42d, No. 122
! Total magnetic moment = 0.000 Bohr magnetons per cell
! Mass density = 10.29 Mg/m³

***

Most stable to least stable: #a, #b

***

#a
! Sc3RuAu (PBE, optimized geometry); values from VASP
&SYSTEM
  ibrav = 0, nat = 5, ntyp = 3
/
ATOMIC_SPECIES
Ru 101.07 Ru.upf
Sc 44.96 Sc.upf
Au 196.97 Au.upf
ATOMIC_POSITIONS crystal
Ru 0.000 0.000 0.000
Sc 0.000 0.500 0.000
Sc 0.500 0.000 0.000
Sc 0.000 0.000 0.500
Au 0.500 0.500 0.500
CELL_PARAMETERS angstrom
4.933 0.000 0.000
0.000 4.933 0.000
0.000 0.000 4.933
! Symmetry = Pm-3m, No. 221
! Total magnetic moment = 0.000 Bohr magnetons per cell
! Mass density = 5.99 Mg/m³

***

#b
! Sc3RuAu (PBE, optimized geometry); values from VASP
&SYSTEM
  ibrav = 0, nat = 5, ntyp = 3
/
ATOMIC_SPECIES
Sc 44.96 Sc.upf
Ru 101.07 Ru.upf
Au 196.97 Au.upf
ATOMIC_POSITIONS crystal
Sc 0.500 0.000 0.000
Sc 0.000 0.000 0.500
Sc 0.000 0.500 0.000
Ru 0.500 0.500 0.500
Au 0.000 0.000 0.000
CELL_PARAMETERS angstrom
-0.734 -3.558 3.481
1.937 -3.446 -3.114
4.586 0.886 1.873
! Symmetry = Pm-3m, No. 221
! Total magnetic moment = 0.000 Bohr magnetons per cell
! Mass density = 5.64 Mg/m³

***

Most stable to least stable: #a, #b

***

#a
! ScZnRuAu (PBE, optimized geometry); values from VASP
&SYSTEM
  ibrav = 0, nat = 4, ntyp = 4
/
ATOMIC_SPECIES
Ru 101.07 Ru.upf
Zn 65.41 Zn.upf
Au 196.97 Au.upf
Sc 44.96 Sc.upf
ATOMIC_POSITIONS crystal
Ru 0.750 0.750 0.750
Zn 0.500 0.500 0.500
Au 0.250 0.250 0.250
Sc 0.000 0.000 0.000
CELL_PARAMETERS angstrom
-0.097 -2.605 3.681
2.744 -3.566 0.312
3.456 0.061 2.897
! Symmetry = F-43m, No. 216
! Total magnetic moment = 0.000 Bohr magnetons per cell
! Mass density = 10.45 Mg/m³

***

#b
! ScZnRuAu (PBE, optimized geometry); values from VASP
&SYSTEM
  ibrav = 0, nat = 4, ntyp = 4
/
ATOMIC_SPECIES
Sc 44.96 Sc.upf
Ru 101.07 Ru.upf
Au 196.97 Au.upf
Zn 65.41 Zn.upf
ATOMIC_POSITIONS crystal
Sc 0.500 0.500 0.000
Ru 0.000 0.000 0.000
Au 0.000 0.500 0.500
Zn 0.500 0.000 0.500
CELL_PARAMETERS angstrom
3.620 0.000 0.000
0.000 4.101 0.000
0.000 0.000 4.345
! Symmetry = Pmmm, No. 47
! Total magnetic moment = 0.000 Bohr magnetons per cell
! Mass density = 10.51 Mg/m³

***

Most stable to least stable: #b, #a

***

#a
! Ru3AuSe (PBE, optimized geometry); values from VASP
&SYSTEM
  ibrav = 0, nat = 5, ntyp = 3
/
ATOMIC_SPECIES
Au 196.97 Au.upf
Ru 101.07 Ru.upf
Se 78.96 Se.upf
ATOMIC_POSITIONS crystal
Au 0.500 0.500 0.500
Ru 0.500 0.000 0.000
Ru 0.000 0.000 0.500
Ru 0.000 0.500 0.000
Se 0.000 0.000 0.000
CELL_PARAMETERS angstrom
4.531 0.000 0.000
0.000 4.531 0.000
0.000 0.000 4.531
! Symmetry = Pm-3m, No. 221
! Total magnetic moment = 2.844 Bohr magnetons per cell
! Mass density = 10.34 Mg/m³

***

#b
! Ru3AuSe (PBE, optimized geometry); values from VASP
&SYSTEM
  ibrav = 0, nat = 5, ntyp = 3
/
ATOMIC_SPECIES
Au 196.97 Au.upf
Se 78.96 Se.upf
Ru 101.07 Ru.upf
ATOMIC_POSITIONS crystal
Au 0.000 0.000 0.000
Se 0.500 0.500 0.500
Ru 0.500 0.000 0.000
Ru 0.000 0.000 0.500
Ru 0.000 0.500 0.000
CELL_PARAMETERS angstrom
-0.972 -1.367 4.636
0.398 -4.735 -1.313
4.817 0.116 1.044
! Symmetry = Pm-3m, No. 221
! Total magnetic moment = 7.777 Bohr magnetons per cell
! Mass density = 8.03 Mg/m³

***

Most stable to least stable: #a, #b

***

#a
! RuAu3Se (PBE, optimized geometry); values from VASP
&SYSTEM
  ibrav = 0, nat = 5, ntyp = 3
/
ATOMIC_SPECIES
Au 196.97 Au.upf
Se 78.96 Se.upf
Ru 101.07 Ru.upf
ATOMIC_POSITIONS crystal
Au 0.000 0.000 0.500
Au 0.500 0.000 0.000
Au 0.000 0.500 0.000
Se 0.500 0.500 0.500
Ru 0.000 0.000 0.000
CELL_PARAMETERS angstrom
-3.707 -2.884 -1.794
-0.922 -1.701 4.641
-3.269 3.751 0.725
! Symmetry = Pm-3m, No. 221
! Total magnetic moment = 2.840 Bohr magnetons per cell
! Mass density = 10.07 Mg/m³

***

#b
! RuAu3Se (PBE, optimized geometry); values from VASP
&SYSTEM
  ibrav = 0, nat = 5, ntyp = 3
/
ATOMIC_SPECIES
Se 78.96 Se.upf
Au 196.97 Au.upf
Ru 101.07 Ru.upf
ATOMIC_POSITIONS crystal
Se 0.000 0.000 0.000
Au 0.500 0.000 0.000
Au 0.000 0.500 0.000
Au 0.000 0.000 0.500
Ru 0.500 0.500 0.500
CELL_PARAMETERS angstrom
4.870 0.000 0.000
0.000 4.870 0.000
0.000 0.000 4.870
! Symmetry = Pm-3m, No. 221
! Total magnetic moment = 1.685 Bohr magnetons per cell
! Mass density = 11.08 Mg/m³

***

Most stable to least stable: #b, #a